Entry 1:
VASP calculation (GGA-PBE) on an optimized crystal structure of HoGa7Cu12.

```
HoGa7Cu12
1.0
6.2976 3.6359 2.1269
-6.2976 3.6359 2.1269
0.0000 -7.2719 2.1269
Ho Ga Cu
1 7 12
direct
0.0000 0.0000 0.0000
0.1884 0.1884 0.5334
0.1884 0.5334 0.1884
0.4666 0.8116 0.8116
0.5000 0.5000 0.5000
0.5334 0.1884 0.1884
0.8116 0.4666 0.8116
0.8116 0.8116 0.4666
0.0000 0.2703 0.7297
0.0000 0.7297 0.2703
0.0588 0.3976 0.3976
0.2703 0.0000 0.7297
0.2703 0.7297 0.0000
0.3976 0.0588 0.3976
0.3976 0.3976 0.0588
0.6024 0.6024 0.9412
0.6024 0.9412 0.6024
0.7297 0.0000 0.2703
0.7297 0.2703 0.0000
0.9412 0.6024 0.6024
```

Properties
**E_tot**: -0.280 Ry/atom
**Symmetry**: R-3m, No. 166


Entry 2:
VASP calculation (GGA-PBE) on an optimized crystal structure of SnGe2Au2.

```
SnGe2Au2
1.0
-2.2728 2.2728 5.2611
2.2728 -2.2728 5.2611
2.2728 2.2728 -5.2611
Sn Ge Au
1 2 2
direct
0.0000 0.0000 0.0000
0.3803 0.3803 0.0000
0.6197 0.6197 0.0000
0.2500 0.7500 0.5000
0.7500 0.2500 0.5000
```

Properties
**Distance to the lowest polymorph of the same formula**: 33.2 meV per atom
**Symmetry**: I4/mmm, No. 139


Entry 3:
VASP calculation (GGA-PBE) on an optimized crystal structure of Zr2SiMo.

```
Zr2SiMo
1.0
1.6712 0.9649 8.0950
-1.6712 0.9649 8.0950
0.0000 -1.9297 8.0950
Zr Si Mo
2 1 1
direct
0.0000 0.0000 0.0000
0.2295 0.2295 0.2295
0.4838 0.4838 0.4838
0.7550 0.7550 0.7550
```

Properties
**Formation energy from raw total energies**: -0.0334 eV per atom
**Symmetry**: R3m, No. 160


Entry 4:
VASP calculation (GGA-PBE) on an optimized crystal structure of Rb2NaTc2O7.

```
Rb2NaTc2O7
1.0
-1.9551 1.9551 11.1844
1.9551 -1.9551 11.1844
1.9551 1.9551 -11.1844
Rb Na Tc O
2 1 2 7
direct
0.1890 0.1890 0.0000
0.8110 0.8110 0.0000
0.0000 0.0000 0.0000
0.4128 0.4128 0.0000
0.5872 0.5872 0.0000
0.0850 0.5850 0.5000
0.3288 0.3288 0.0000
0.4150 0.9150 0.5000
0.5000 0.5000 0.0000
0.5850 0.0850 0.5000
0.6712 0.6712 0.0000
0.9150 0.4150 0.5000
```

Properties
**Formation energy from raw total energies**: -1.5450 eV per atom
**Symmetry**: I4/mmm, No. 139


no.,DOS at the Fermi energy (states/eV/atom)
1,0.39
2,0.40
3,0.65
4,0.30